No. 1
Gd2PaPd: optimized geometry, PBE.

Values from the calculation:
Mass density = 10.9 Mg/m³
Calculated volume = 99.6 Å³ per cell
DOS(E_F) = 5.5 states/eV/f.u.
Crystal system = tetragonal
Formation energy from the elements = -1.07 eV per formula unit

Lattice parameters (Å, degrees): 3.4987 3.4987 8.1330 90.00 90.00 90.00
Site moments in Bohr magnetons follow the coordinates.
Positions (direct):
Pa1 0.5000 0.5000 0.5000  -0.34
Pd1 0.5000 0.5000 0.0000  0.00
Gd1 0.0000 0.0000 0.2186  7.02
Gd2 0.0000 0.0000 0.7814  7.02

***

No. 2
GdPaPd: optimized geometry, PBE.

Values from the calculation:
Mass density = 11.1 Mg/m³
Calculated volume = 73.8 Å³ per cell
DOS(E_F) = 3.7 states/eV/f.u.
Crystal system = tetragonal
Formation energy from the elements = -0.83 eV per formula unit

Lattice parameters (Å, degrees): 3.6325 3.6325 6.1551 107.16 107.16 90.00
Site moments in Bohr magnetons follow the coordinates.
Positions (direct):
Pd1 0.9294 0.9294 0.8588  0.02
Gd1 0.6103 0.6103 0.2205  7.10
Pa1 0.3104 0.3104 0.6207  -0.03

***

No. 3
Gd2PaPd: optimized geometry, PBE.

Values from the calculation:
Mass density = 10.8 Mg/m³
Calculated volume = 100.4 Å³ per cell
DOS(E_F) = 4.4 states/eV/f.u.
Crystal system = trigonal
Formation energy from the elements = 0.17 eV per formula unit

Lattice parameters (Å, degrees): 3.2581 3.2581 11.0840 81.55 81.55 60.00
Site moments in Bohr magnetons follow the coordinates.
Positions (direct):
Gd1 0.0969 0.0969 0.7092  7.17
Gd2 0.9031 0.9031 0.2908  7.17
Pd1 0.5000 0.5000 0.5000  0.04
Pa1 0.0000 0.0000 0.0000  -0.33

***

> Which of these has the highest DOS(E_F)?

number 1

***

> Among the records above, which one has the highest DOS(E_F)?

number 1

***

> The highest formation energy from the elements belongs to which entry?

number 3